This record from Alexandria via LeMat-Bulk describes a relaxed PrNd3O crystal. The functional is PBE.

Summary:
Calculated volume, Å³/cell: 135.4
Space group: No. 221
Formation energy from raw total energies, eV/atom: -1.072

```
5
Lattice="5.1352 0.0000 0.0000 0.0000 5.1352 0.0000 0.0000 0.0000 5.1352" Properties=species:S:1:pos:R:3 pbc="T T T"
Nd 0.0000 2.5676 0.0000
Nd 0.0000 0.0000 2.5676
Nd 2.5676 0.0000 0.0000
O 0.0000 0.0000 0.0000
Pr 2.5676 2.5676 2.5676
```